# SrMg6Ni6 | the Alexandria database | PBE | relaxed
# E_form = -0.1283 eV/atom
# Total energy = -3.66 eV/atom
# Magnetic moment = 0.0 μB per formula unit
# Density of states at the Fermi level = 0.611 states/eV per atom
data_SrMg6Ni6
_space_group_name_H-M_alt 'I m m m'
_space_group_IT_number 71
_space_group_name_Hall '-I 2 2'
_cell_length_a 5.172
_cell_length_b 8.935
_cell_length_c 9.108
_cell_angle_alpha 90.00
_cell_angle_beta 90.00
_cell_angle_gamma 90.00
loop_
_atom_site_label
_atom_site_type_symbol
_atom_site_fract_x
_atom_site_fract_y
_atom_site_fract_z
Sr1 Sr 0.000 0.000 0.000
Mg1 Mg 0.000 0.000 0.349
Mg2 Mg 0.000 0.336 0.000
Mg3 Mg 0.000 0.500 0.308
Ni1 Ni 0.000 0.262 0.500
Ni2 Ni 0.250 0.250 0.250